# LiHoMg, relaxed, DFT PBE
# **Volume**: 93.2 Å³/f.u.
# **Energy relative to the lowest polymorph listed for this composition**: 316.8 meV/atom
data_LiHoMg
_space_group_name_H-M_alt 'P 1'
_space_group_IT_number 1
_cell_length_a 5.089
_cell_length_b 5.089
_cell_length_c 5.089
_cell_angle_alpha 60.00
_cell_angle_beta 60.00
_cell_angle_gamma 60.00
loop_
_space_group_symop_operation_xyz
'x,y,z'
loop_
_atom_site_label
_atom_site_fract_x
_atom_site_fract_y
_atom_site_fract_z
Ho1 0.000 0.000 0.000
Li1 0.250 0.250 0.250
Mg1 0.750 0.750 0.750